<i>
Compound: NaP2SeS
Source: Alexandria
Functional: GGA-PBE
Structure: optimized geometry

Unit cell a=4.9809 b=4.9809 c=4.6572 alpha=90.00 beta=90.00 gamma=90.00
Last column: nearest neighbours and their distance in Å.
Space group P4/mmm (No. 123)
Asymmetric unit:
Na 0.0000 0.0000 0.0000 (multiplicity 1)  2 S 2.33, 4 P 2.49
P 0.0000 0.5000 0.0000 (multiplicity 2)  2 Na 2.49
Se 0.5000 0.5000 0.5000 (multiplicity 1)  8 P 3.41, 4 S 3.52
S 0.0000 0.0000 0.5000 (multiplicity 1)  2 Na 2.33

***

<ii>
Compound: NaP2SeS
Source: Alexandria
Functional: GGA-PBE
Structure: optimized geometry

Unit cell a=4.8782 b=4.8782 c=4.9833 alpha=90.00 beta=90.00 gamma=90.00
Last column: nearest neighbours and their distance in Å.
Space group P4/mmm (No. 123)
Asymmetric unit:
Na 0.0000 0.0000 0.0000 (multiplicity 1)  4 S 3.45, 8 P 3.49
P 0.0000 0.5000 0.5000 (multiplicity 2)  2 Se 2.44
Se 0.5000 0.5000 0.5000 (multiplicity 1)  4 P 2.44, 2 S 2.49
S 0.5000 0.5000 0.0000 (multiplicity 1)  2 Se 2.49

***

Of them, <i> has the lowest stability.